# 1
Compound: AlIn2Ni
Source: the Alexandria database
Functional: PBEsol
Structure: relaxed

Properties
**DOS(E_F)**: 1.591 states/eV per cell
**Energy relative to the elements**: -0.038 eV/atom
**Electronic total energy**: -16.37 eV/cell
**Total moment**: 0.0 Bohr magnetons per cell

Cell lengths 3.7567, 3.9973, 5.2227 Å; angles 90.00, 111.08, 90.00 degrees
Atoms (fractional coordinates):
Ni 0.6926 0.0000 0.3851
Al 0.5599 0.5000 0.1198
In 0.9702 0.0000 0.9405
In 0.2754 0.5000 0.5508

# 2
Compound: AlInNi6
Source: the Alexandria database
Functional: PBEsol
Structure: relaxed

Properties
**DOS(E_F)**: 32.752 states/eV per cell
**Energy relative to the elements**: -0.245 eV/atom
**Electronic total energy**: -183.92 eV/cell
**Total moment**: 5.6 Bohr magnetons per cell

Cell lengths 6.2347, 6.2347, 10.2109 Å; angles 90.00, 90.00, 109.76 degrees
Atoms (fractional coordinates):
Al 0.2536 0.7464 0.5000
Al 0.7464 0.2536 0.5000
Al 0.0000 0.0000 0.7459
Al 0.0000 0.0000 0.2541
In 0.2545 0.7455 0.0000
In 0.7455 0.2545 0.0000
In 0.5000 0.5000 0.7476
In 0.5000 0.5000 0.2524
Ni 0.2457 0.7543 0.7413
Ni 0.8821 0.6362 0.8692
Ni 0.1179 0.3638 0.8692
Ni 0.7543 0.2457 0.7413
Ni 0.3638 0.1179 0.8692
Ni 0.6362 0.8821 0.8692
Ni 0.5000 0.5000 0.5000
Ni 0.1162 0.3701 0.6201
Ni 0.3701 0.1162 0.6201
Ni 0.2457 0.7543 0.2587
Ni 0.8838 0.6299 0.3799
Ni 0.1162 0.3701 0.3799
Ni 0.7543 0.2457 0.2587
Ni 0.3701 0.1162 0.3799
Ni 0.6299 0.8838 0.3799
Ni 0.5000 0.5000 0.0000
Ni 0.1179 0.3638 0.1308
Ni 0.3638 0.1179 0.1308
Ni 0.0000 0.0000 0.5000
Ni 0.6299 0.8838 0.6201
Ni 0.8838 0.6299 0.6201
Ni 0.0000 0.0000 0.0000
Ni 0.6362 0.8821 0.1308
Ni 0.8821 0.6362 0.1308

# 3
Compound: Al2InNi
Source: the Alexandria database
Functional: PBEsol
Structure: relaxed

Properties
**DOS(E_F)**: 1.251 states/eV per cell
**Energy relative to the elements**: 0.054 eV/atom
**Electronic total energy**: -17.11 eV/cell
**Total moment**: 0.0 Bohr magnetons per cell

Cell lengths 3.2265, 4.6375, 4.6375 Å; angles 111.44, 90.00, 90.00 degrees
Atoms (fractional coordinates):
Ni 0.5000 0.5000 0.5000
Al 0.0000 0.5000 0.0000
Al 0.0000 0.0000 0.5000
In 0.5000 0.0000 0.0000

# 4
Compound: AlInNi3
Source: the Alexandria database
Functional: PBEsol
Structure: relaxed

Properties
**DOS(E_F)**: 2.766 states/eV per cell
**Energy relative to the elements**: 0.452 eV/atom
**Electronic total energy**: -23.29 eV/cell
**Total moment**: 0.0 Bohr magnetons per cell

Cell lengths 4.2301, 4.2301, 4.2301 Å; angles 90.00, 90.00, 90.00 degrees
Atoms (fractional coordinates):
Ni 0.0000 0.5000 0.0000
Ni 0.0000 0.0000 0.5000
Ni 0.5000 0.0000 0.0000
Al 0.0000 0.0000 0.0000
In 0.5000 0.5000 0.5000

# 5
Compound: AlInNi2
Source: the Alexandria database
Functional: PBEsol
Structure: relaxed

Properties
**DOS(E_F)**: 1.748 states/eV per cell
**Energy relative to the elements**: -0.141 eV/atom
**Electronic total energy**: -19.95 eV/cell
**Total moment**: 0.0 Bohr magnetons per cell

Cell lengths 2.8363, 4.2236, 5.0609 Å; angles 100.63, 90.00, 109.62 degrees
Atoms (fractional coordinates):
Ni 0.7435 0.4871 0.7146
Ni 0.2565 0.5129 0.2854
Al 0.0000 0.0000 0.5000
In 0.5000 0.0000 0.0000

# 6
Compound: AlInNi2
Source: the Alexandria database
Functional: PBEsol
Structure: relaxed

Properties
**DOS(E_F)**: 1.086 states/eV per cell
**Energy relative to the elements**: -0.256 eV/atom
**Electronic total energy**: -20.41 eV/cell
**Total moment**: 0.0 Bohr magnetons per cell

Cell lengths 3.6229, 3.6229, 4.8441 Å; angles 111.96, 111.96, 90.00 degrees
Atoms (fractional coordinates):
Ni 0.0000 0.0000 0.0000
Ni 0.7500 0.2500 0.5000
Al 0.5000 0.5000 0.0000
In 0.2500 0.7500 0.5000

# 7
Compound: AlIn2Ni
Source: the Alexandria database
Functional: PBEsol
Structure: relaxed

Properties
**DOS(E_F)**: 1.561 states/eV per cell
**Energy relative to the elements**: 0.081 eV/atom
**Electronic total energy**: -15.89 eV/cell
**Total moment**: 0.0 Bohr magnetons per cell

Cell lengths 3.1726, 3.1726, 8.5881 Å; angles 79.36, 79.36, 60.00 degrees
Atoms (fractional coordinates):
Ni 0.5000 0.5000 0.5000
Al 0.0000 0.0000 0.0000
In 0.2406 0.2406 0.2783
In 0.7594 0.7594 0.7217

# 8
Compound: RbAl2InNi
Source: the Alexandria database
Functional: PBEsol
Structure: relaxed

Properties
**DOS(E_F)**: 2.593 states/eV per cell
**Energy relative to the elements**: 0.327 eV/atom
**Electronic total energy**: -16.71 eV/cell
**Total moment**: 0.0 Bohr magnetons per cell

Cell lengths 4.6561, 4.6561, 5.7364 Å; angles 90.00, 90.00, 90.00 degrees
Atoms (fractional coordinates):
Ni 0.0000 0.0000 0.0000
Al 0.0000 0.5000 0.0000
Al 0.5000 0.0000 0.0000
Rb 0.0000 0.0000 0.5000
In 0.5000 0.5000 0.5000

# 9
Compound: AlInO3
Source: the Alexandria database
Functional: PBEsol
Structure: relaxed

Properties
**DOS(E_F)**: 0.000 states/eV per cell
**Electronic total energy**: -137.46 eV/cell
**E_form (uncorrected)**: -2309 meV/atom
**Total moment**: 0.0 Bohr magnetons per cell

Cell lengths 5.0619, 5.2475, 7.4047 Å; angles 90.00, 90.00, 90.00 degrees
Atoms (fractional coordinates):
Al 0.5000 0.0000 0.0000
Al 0.0000 0.5000 0.0000
Al 0.0000 0.5000 0.5000
Al 0.5000 0.0000 0.5000
O 0.1978 0.2014 0.9412
O 0.6978 0.2986 0.0588
O 0.3022 0.7014 0.5588
O 0.8022 0.7986 0.4412
O 0.8022 0.7986 0.0588
O 0.3022 0.7014 0.9412
O 0.6978 0.2986 0.4412
O 0.1978 0.2014 0.5588
O 0.1114 0.4555 0.2500
O 0.6114 0.0445 0.7500
O 0.3886 0.9555 0.2500
O 0.8886 0.5445 0.7500
In 0.4814 0.4446 0.7500
In 0.9814 0.0554 0.2500
In 0.0186 0.9446 0.7500
In 0.5186 0.5554 0.2500

# 10
Compound: AlInO3
Source: the Alexandria database
Functional: PBEsol
Structure: relaxed

Properties
**DOS(E_F)**: 0.000 states/eV per cell
**Electronic total energy**: -68.76 eV/cell
**E_form (uncorrected)**: -2311 meV/atom
**Total moment**: 0.0 Bohr magnetons per cell

Cell lengths 3.2545, 3.2545, 11.9056 Å; angles 90.00, 90.00, 120.00 degrees
Atoms (fractional coordinates):
Al 0.6667 0.3333 0.2500
Al 0.3333 0.6667 0.7500
O 0.0000 0.0000 0.2500
O 0.0000 0.0000 0.7500
O 0.6667 0.3333 0.0918
O 0.6667 0.3333 0.4082
O 0.3333 0.6667 0.9082
O 0.3333 0.6667 0.5918
In 0.0000 0.0000 0.5000
In 0.0000 0.0000 0.0000

# 11
Compound: AlInO2
Source: the Alexandria database
Functional: PBEsol
Structure: relaxed

Properties
**DOS(E_F)**: 0.021 states/eV per cell
**Electronic total energy**: -26.37 eV/cell
**E_form (uncorrected)**: -2199 meV/atom
**Total moment**: 0.0 Bohr magnetons per cell

Cell lengths 2.9002, 2.9002, 6.6533 Å; angles 77.41, 77.41, 60.00 degrees
Atoms (fractional coordinates):
Al 0.5000 0.5000 0.5000
O 0.8832 0.8832 0.3505
O 0.1168 0.1168 0.6495
In 0.0000 0.0000 0.0000

# 12
Compound: AlInO2
Source: the Alexandria database
Functional: PBEsol
Structure: relaxed

Properties
**DOS(E_F)**: 0.000 states/eV per cell
**Electronic total energy**: -51.32 eV/cell
**E_form (uncorrected)**: -2022 meV/atom
**Total moment**: 0.0 Bohr magnetons per cell

Cell lengths 5.4486, 5.5351, 5.4486 Å; angles 60.52, 90.00, 119.48 degrees
Atoms (fractional coordinates):
Al 0.2500 0.5000 0.2500
Al 0.5000 0.0000 0.5000
O 0.4702 0.7500 0.3750
O 0.2798 0.7500 0.8750
O 0.8750 0.2500 0.4702
O 0.3750 0.2500 0.2798
In 0.7500 0.5000 0.7500
In 0.0000 0.0000 0.0000

# 13
Compound: AlInPO2
Source: the Alexandria database
Functional: PBEsol
Structure: relaxed

Properties
**DOS(E_F)**: 3.454 states/eV per cell
**Electronic total energy**: -23.49 eV/cell
**E_form (uncorrected)**: -26 meV/atom
**Total moment**: 1.0 Bohr magnetons per cell

Cell lengths 3.9599, 3.9599, 5.4008 Å; angles 90.00, 90.00, 90.00 degrees
Atoms (fractional coordinates):
P 0.0000 0.0000 0.5000
Al 0.5000 0.5000 0.5000
O 0.0000 0.5000 0.0000
O 0.5000 0.0000 0.0000
In 0.0000 0.0000 0.0000